Pr8Ge2N | PBE-GGA | optimized geometry

abc: 4.3286 7.1651 11.3265
angles: 110.59 101.02 90.00
Last column: nearest neighbours and their distance in Å.
Element x y z (fractional)
Pr: 0.7871 0.6672 0.5741  1 Ge 2.96, 4 Pr 3.21-3.22
Pr: 0.5791 0.3536 0.1581  1 N 2.51
Pr: 0.6856 0.9784 0.3712  3 Ge 3.01-3.35, 2 Pr 3.22
Pr: 0.2129 0.3328 0.4259  1 Ge 2.96, 4 Pr 3.21-3.22
N: 0.5000 0.0000 0.0000  6 Pr 2.51-2.74
Pr: 0.3144 0.0216 0.6288  3 Ge 3.01-3.35, 2 Pr 3.22
Ge: 0.1662 0.6711 0.3324  5 Pr 2.96-3.23
Ge: 0.8338 0.3289 0.6676  5 Pr 2.96-3.23
Pr: 0.9457 0.1127 0.8915  2 N 2.74
Pr: 0.0543 0.8873 0.1085  2 N 2.74
Pr: 0.4209 0.6464 0.8419  1 N 2.51

symmetry	C2/m (12)
uncorrected energy	-5.4260	eV per atom
formation energy from raw total energies	-0.354	eV/atom